BeAgRu2: relaxed, PBE.

Geometry as POSCAR:
```
BeAgRu2
1.0
4.907 -0.007 -0.004
2.085 4.442 0.004
-2.972 -3.044 2.446
Ru Be Ag
2 1 1
direct
0.025 0.025 0.000
0.757 0.257 0.500
0.246 0.746 0.500
0.472 0.472 0.000
```

Formation enthalpy at 0 K = 317.5 meV/atom
Space group = No. 44
D(E_F) = 3.420 states/eV per cell



BeAg4Ru: relaxed, PBE.

Geometry as POSCAR:
```
BeAg4Ru
1.0
-3.822 -1.646 -3.281
-4.824 2.179 0.247
-1.682 3.161 -3.906
Ru Ag Be
1 4 1
direct
0.000 0.000 0.000
0.375 0.375 0.875
0.375 0.875 0.375
0.875 0.375 0.375
0.375 0.375 0.375
0.750 0.750 0.750
```

Formation enthalpy at 0 K = 816.1 meV/atom
Space group = No. 216
D(E_F) = 6.081 states/eV per cell